1.
A relaxed ThCoP2Ru2 crystal, computed with GGA-PBE.

Summary:
- Volume: 98.8 Å³/f.u.
- DOS at the Fermi energy: 1.059 states/eV/atom
- Symmetry: P4/mmm, No. 123
- Raw total energy: -45.58 eV/f.u.
- E_form: -0.28 eV/atom

Lattice parameters (Å, degrees): 4.328 4.328 5.273 90.00 90.00 90.00
Sites, in units of the cell vectors:
Th: 0.000 0.000 0.000
Co: 0.000 0.000 0.500
P: 0.000 0.500 0.500
P: 0.500 0.000 0.500
Ru: 0.500 0.500 0.244
Ru: 0.500 0.500 0.756

2.
A relaxed ThCo2P2Ru crystal, computed with GGA-PBE.

Summary:
- Volume: 88.5 Å³/f.u.
- DOS at the Fermi energy: 0.806 states/eV/atom
- Symmetry: P-3m1, No. 164
- Raw total energy: -46.06 eV/f.u.
- E_form: -0.72 eV/atom

Lattice parameters (Å, degrees): 3.975 3.975 6.471 90.00 90.00 120.00
Sites, in units of the cell vectors:
Th: 0.000 0.000 0.000
Co: 0.333 0.667 0.698
Co: 0.667 0.333 0.302
P: 0.333 0.667 0.319
P: 0.667 0.333 0.681
Ru: 0.000 0.000 0.500

3.
A relaxed Th2Co3P4Ru crystal, computed with GGA-PBE.

Summary:
- Volume: 151.7 Å³/f.u.
- DOS at the Fermi energy: 0.309 states/eV/atom
- Symmetry: P-4m2, No. 115
- Raw total energy: -77.70 eV/f.u.
- E_form: -1.06 eV/atom

Lattice parameters (Å, degrees): 4.041 4.041 9.287 90.00 90.00 90.00
Sites, in units of the cell vectors:
Th: 0.000 0.500 0.242
Th: 0.500 0.000 0.758
Co: 0.000 0.500 0.892
Co: 0.500 0.000 0.108
Co: 0.500 0.500 0.500
P: 0.000 0.000 0.000
P: 0.000 0.500 0.639
P: 0.500 0.000 0.361
P: 0.500 0.500 0.000
Ru: 0.000 0.000 0.500